Here is a geometry-optimized LiNdCdGe2 structure from the Alexandria database. Energies are from PBE-GGA.

Results
* total moment: 0.0 Bohr magnetons per cell
* volume: 212 Å³ per cell
* formation energy from the elements: -237 kJ/mol of formula units
* uncorrected energy: -3.86 eV per atom

Unit cell a=4.2549 b=4.2549 c=11.7216 alpha=90.00 beta=90.00 gamma=90.00
Space group I-4m2 (No. 119)
Unique sites:
1 Li 0.0000 0.0000 0.0000
2 Nd 0.0000 0.5000 0.7500
3 Cd 0.0000 0.0000 0.5000
4 Ge 0.0000 0.5000 0.1437

=====

Here is a geometry-optimized LiCdGePb structure from the Alexandria database. Energies are from PBE-GGA.

Results
* total moment: 0.0 Bohr magnetons per cell
* volume: 363 Å³ per cell
* formation energy from the elements: -2 kJ/mol of formula units
* uncorrected energy: -2.80 eV per atom

Unit cell a=7.1322 b=7.1322 c=7.1322 alpha=90.00 beta=90.00 gamma=90.00
Space group F-43m (No. 216)
Unique sites:
1 Li 0.0000 0.0000 0.0000
2 Cd 0.0000 0.0000 0.5000
3 Ge 0.2500 0.2500 0.2500
4 Pb 0.2500 0.2500 0.7500

=====

Here is a geometry-optimized LiCd2Ge2Pd5 structure from the Alexandria database. Energies are from PBE-GGA.

Results
* total moment: 0.0 Bohr magnetons per cell
* volume: 337 Å³ per cell
* formation energy from the elements: -304 kJ/mol of formula units
* uncorrected energy: -4.21 eV per atom

Unit cell a=9.6686 b=9.6686 c=3.6002 alpha=90.00 beta=90.00 gamma=90.00
Space group P4/mbm (No. 127)
Unique sites:
1 Li 0.0000 0.0000 0.0000
2 Cd 0.1717 0.3283 0.0000
3 Ge 0.1310 0.6310 0.0000
4 Pd 0.0000 0.5000 0.5000
5 Pd 0.0684 0.7996 0.5000

=====

Here is a geometry-optimized Li2CdGe2Pd2 structure from the Alexandria database. Energies are from PBE-GGA.

Results
* total moment: 0.0 Bohr magnetons per cell
* volume: 222 Å³ per cell
* formation energy from the elements: -300 kJ/mol of formula units
* uncorrected energy: -3.93 eV per atom

Unit cell a=7.5470 b=4.3582 c=7.2014 alpha=90.00 beta=110.32 gamma=90.00
Space group C2/m (No. 12)
Unique sites:
1 Li 0.1400 0.0000 0.4193
2 Cd 0.0000 0.0000 0.0000
3 Ge 0.0719 0.5000 0.7191
4 Pd 0.2324 0.5000 0.1951

=====

Please write out number 4 again, unchanged.
Here is a geometry-optimized Li2CdGe2Pd2 structure from the Alexandria database. Energies are from PBE-GGA.

Results
* total moment: 0.0 Bohr magnetons per cell
* volume: 222 Å³ per cell
* formation energy from the elements: -300 kJ/mol of formula units
* uncorrected energy: -3.93 eV per atom

Unit cell a=7.5470 b=4.3582 c=7.2014 alpha=90.00 beta=110.32 gamma=90.00
Space group C2/m (No. 12)
Unique sites:
1 Li 0.1400 0.0000 0.4193
2 Cd 0.0000 0.0000 0.0000
3 Ge 0.0719 0.5000 0.7191
4 Pd 0.2324 0.5000 0.1951

=====

> Which of these has the lowest volume?

LiNdCdGe2